# PIrBr2

Crystalline PIrBr2 at its relaxed geometry (PBE-GGA, Alexandria via LeMat-Bulk).

Geometry as POSCAR:
```
PIrBr2
1.0
4.0875 -0.0030 0.0000
-2.6108 3.1450 0.0000
0.0000 0.0000 8.9327
P Ir Br
1 1 2
Cartesian
0.7383 1.5710 6.1800
0.0000 0.0000 4.8488
0.0000 0.0000 8.3611
0.7383 1.5710 2.9419
```

Distance to the lowest polymorph of the same formula ... 716 meV/atom
Total DFT energy (no corrections) ... -4.123 eV per atom